1.
Compound: ZnFeCl2
Source: the Alexandria database
Functional: PBE
Structure: optimized geometry

Computed properties:
* raw formation energy: 0.131 eV/atom
* crystal system: tetragonal
* density: 3.90 g/cm³
* E above lowest polymorph: 491 meV per atom
* total moment: 0.7656 μB/atom

The structure in CIF format:
```
data_ZnFeCl2
_chemical_formula_sum 'Zn2 Fe2 Cl4'
_space_group_name_H-M_alt 'I -4 m 2'
_space_group_IT_number 119
_space_group_name_Hall 'I -4 -2'
_cell_length_a 3.601
_cell_length_b 3.601
_cell_length_c 12.614
_cell_angle_alpha 90.00
_cell_angle_beta 90.00
_cell_angle_gamma 90.00
loop_
_atom_site_label
_atom_site_type_symbol
_atom_site_fract_x
_atom_site_fract_y
_atom_site_fract_z
Zn1 Zn 0.000 0.000 0.000
Fe1 Fe 0.000 0.500 0.250
Cl1 Cl 0.000 0.000 0.500
Cl2 Cl 0.000 0.500 0.750
```

---

2.
Compound: Ca2ZnBiSb
Source: the Alexandria database
Functional: PBE
Structure: optimized geometry

Computed properties:
* raw formation energy: -0.713 eV/atom
* crystal system: monoclinic
* density: 5.35 g/cm³
* total moment: 0.0000 μB/atom

The structure in CIF format:
```
data_Ca2ZnBiSb
_chemical_formula_sum 'Ca4 Zn2 Bi2 Sb2'
_space_group_name_H-M_alt 'P 1 21/m 1'
_space_group_IT_number 11
_cell_length_a 7.861
_cell_length_b 4.605
_cell_length_c 8.168
_cell_angle_alpha 90.00
_cell_angle_beta 90.03
_cell_angle_gamma 90.00
loop_
_space_group_symop_operation_xyz
'x,y,z'
'-x,-y,-z'
'-x,y+1/2,-z'
'x,-y+1/2,z'
loop_
_atom_site_label
_atom_site_type_symbol
_atom_site_fract_x
_atom_site_fract_y
_atom_site_fract_z
Ca1 Ca 0.224 0.250 0.487
Ca2 Ca 0.225 0.250 0.013
Zn1 Zn 0.414 0.750 0.251
Bi1 Bi 0.389 0.750 0.750
Sb1 Sb 0.078 0.750 0.250
```

---

3.
Compound: ScUTaC3
Source: the Alexandria database
Functional: PBE
Structure: optimized geometry

Computed properties:
* crystal system: monoclinic
* density: 10.52 g/cm³
* energy relative to the elements: -0.408 eV per atom
* total moment: 0.0000 μB/atom

The structure in CIF format:
```
data_ScUTaC3
_chemical_formula_sum 'Sc2 U2 Ta2 C6'
_space_group_name_H-M_alt 'P 1 21/m 1'
_space_group_IT_number 11
_cell_length_a 5.697
_cell_length_b 3.301
_cell_length_c 8.601
_cell_angle_alpha 90.00
_cell_angle_beta 102.55
_cell_angle_gamma 90.00
loop_
_space_group_symop_operation_xyz
'x,y,z'
'-x,-y,-z'
'-x,y+1/2,-z'
'x,-y+1/2,z'
loop_
_atom_site_label
_atom_site_type_symbol
_atom_site_fract_x
_atom_site_fract_y
_atom_site_fract_z
Sc1 Sc 0.230 0.250 0.447
U1 U 0.351 0.750 0.805
Ta1 Ta 0.133 0.750 0.136
C1 C 0.060 0.250 0.673
C2 C 0.258 0.250 0.009
C3 C 0.447 0.750 0.322
```

---

4.
Compound: Ti2MnCoBr
Source: the Alexandria database
Functional: PBE
Structure: optimized geometry

Computed properties:
* raw formation energy: 0.755 eV/atom
* crystal system: tetragonal
* density: 4.88 g/cm³
* total moment: 0.3718 μB/atom

The structure in CIF format:
```
data_Ti2MnCoBr
_chemical_formula_sum 'Ti2 Mn1 Co1 Br1'
_space_group_name_H-M_alt 'P 4/m m m'
_space_group_IT_number 123
_space_group_name_Hall '-P 4 2'
_cell_length_a 4.568
_cell_length_b 4.568
_cell_length_c 4.722
_cell_angle_alpha 90.00
_cell_angle_beta 90.00
_cell_angle_gamma 90.00
loop_
_atom_site_label
_atom_site_type_symbol
_atom_site_fract_x
_atom_site_fract_y
_atom_site_fract_z
Ti1 Ti 0.000 0.500 0.000
Mn1 Mn 0.000 0.000 0.500
Co1 Co 0.500 0.500 0.000
Br1 Br 0.500 0.500 0.500
```

---

5.
Compound: AcGa6
Source: the Alexandria database
Functional: PBE
Structure: optimized geometry

Computed properties:
* crystal system: cubic
* density: 6.27 g/cm³
* energy relative to the elements: -0.116 eV per atom
* E above lowest polymorph: 206 meV per atom
* total moment: 0.0000 μB/atom

The structure in CIF format:
```
data_AcGa6
_chemical_formula_sum 'Ac2 Ga12'
_space_group_name_H-M_alt 'I m -3 m'
_space_group_IT_number 229
_space_group_name_Hall '-I 4 2 3'
_cell_length_a 6.991
_cell_length_b 6.991
_cell_length_c 6.991
_cell_angle_alpha 90.00
_cell_angle_beta 90.00
_cell_angle_gamma 90.00
loop_
_atom_site_label
_atom_site_type_symbol
_atom_site_fract_x
_atom_site_fract_y
_atom_site_fract_z
Ac1 Ac 0.000 0.000 0.000
Ga1 Ga 0.000 0.250 0.500
```

---

6.
Compound: NaIn
Source: the Alexandria database
Functional: PBE
Structure: optimized geometry

Computed properties:
* crystal system: cubic
* density: 1.94 g/cm³
* energy relative to the elements: 0.257 eV per atom
* total moment: 0.0000 μB/atom

The structure in CIF format:
```
data_NaIn
_chemical_formula_sum 'Na8 In8'
_space_group_name_H-M_alt 'I -4 3 m'
_space_group_IT_number 217
_space_group_name_Hall 'I -4 2 3'
_cell_length_a 9.815
_cell_length_b 9.815
_cell_length_c 9.815
_cell_angle_alpha 90.00
_cell_angle_beta 90.00
_cell_angle_gamma 90.00
loop_
_atom_site_label
_atom_site_type_symbol
_atom_site_fract_x
_atom_site_fract_y
_atom_site_fract_z
Na1 Na 0.208 0.208 0.208
In1 In 0.112 0.112 0.888
```